A plane-wave DFT calculation with GGA-PBE was carried out for RbAl2InSi after structural relaxation.

Results
- SG: P4/mmm, No. 123
- Raw total energy: -0.1910 Ry/atom

Lattice parameters (Å, degrees): 5.5336 5.5336 5.3376 90.00 90.00 90.00
Last column: nearest neighbours and their distance in Å.
Positions (direct):
Rb (0.0000, 0.0000, 0.0000)  8 Al 3.84, 4 Si 3.91
Al (0.0000, 0.5000, 0.5000)  2 In 2.77
Al (0.5000, 0.0000, 0.5000)  2 In 2.77
In (0.5000, 0.5000, 0.5000)  2 Si 2.67, 4 Al 2.77
Si (0.5000, 0.5000, 0.0000)  2 In 2.67